No. 1
RbAu2CSe GGA-PBE relaxed; space group = P4/mmm, No. 123; ρ = 5.8 g/cm³; formation energy (no corrections) = 2.3564 eV/atom
1.0
5.846 0.000 0.000
0.000 4.780 0.000
0.000 0.000 5.846
Se Au C Rb
1 2 1 1
Cartesian
2.923 2.390 2.923
2.923 0.000 0.000
0.000 0.000 2.923
0.000 2.390 0.000
0.000 0.000 0.000


No. 2
Tc2AsW2 GGA-PBE relaxed; formation energy from the elements = 0.435 eV per atom; space group = P4/mbm, No. 127; ρ = 12.7 g/cm³; energy above the lowest structure with this stoichiometry = 0.00 eV/f.u.
1.0
-5.553 2.582 -4.424
2.764 -3.983 -5.794
-1.676 -2.283 0.771
W As Tc
4 2 4
Cartesian
0.403 -2.483 -6.481
-2.930 -0.389 -7.525
-3.193 1.082 -3.737
0.141 -1.012 -2.693
-1.395 -0.701 -5.109
0.000 0.000 0.000
-4.615 -0.353 -5.491
0.150 -3.331 -3.956
-2.439 -0.779 -2.020
-2.026 -2.906 -7.427


No. 3
Fe2TcPd2 GGA-PBE relaxed; formation energy from the elements = 0.374 eV per atom; space group = P4/mbm, No. 127; ρ = 10.2 g/cm³
1.0
5.920 0.000 0.000
0.000 5.920 0.000
0.000 0.000 3.942
Fe Pd Tc
4 4 2
Cartesian
0.746 2.214 0.000
5.174 3.706 0.000
2.214 5.174 0.000
3.706 0.746 0.000
1.934 1.026 1.971
3.986 4.894 1.971
1.026 3.986 1.971
4.894 1.934 1.971
0.000 0.000 0.000
2.960 2.960 0.000


No. 4
LaDyMg2Cd4 GGA-PBE relaxed; formation energy from the elements = -0.323 eV per atom; space group = R-3m, No. 166; ρ = 6.8 g/cm³
1.0
5.168 0.000 0.000
2.584 4.475 0.000
2.584 1.492 8.495
Dy Cd Mg La
1 4 2 1
Cartesian
5.168 2.984 4.248
5.168 2.984 1.161
7.752 4.475 3.267
2.584 1.492 5.228
5.168 2.984 7.334
2.584 1.492 2.146
7.752 4.475 6.349
0.000 0.000 0.000


No. 5
Er2ScPa GGA-PBE relaxed; formation energy from the elements = 0.105 eV per atom; space group = R3m, No. 160; ρ = 9.3 g/cm³; energy above the lowest structure with this stoichiometry = 0.00 eV/f.u.
1.0
-3.065 0.218 -1.339
-1.380 -2.677 -1.472
-5.963 -3.877 8.824
Pa Sc Er
1 1 2
Cartesian
-5.197 -3.163 2.991
-2.970 -1.644 -1.861
-4.846 -3.115 6.391
-2.599 -1.582 1.497


No. 6
Rb3AcLa2S6 GGA-PBE relaxed; space group = C2/m, No. 12; ρ = 4.1 g/cm³; formation energy (no corrections) = -1.8898 eV/atom
1.0
7.573 -0.001 0.000
-3.786 6.559 0.000
-1.263 -2.187 7.701
La S Ac Rb
2 6 1 3
Cartesian
3.787 2.186 0.000
0.001 4.373 0.000
3.814 2.137 6.169
2.580 0.000 1.533
-0.055 4.372 6.169
0.027 0.047 6.166
2.497 4.324 1.535
-1.290 2.234 1.533
0.000 0.000 0.000
-2.524 4.372 3.851
1.262 2.186 3.851
5.048 -0.001 3.851


No. 7
ErSc2Al6 GGA-PBE relaxed; formation energy from the elements = -0.465 eV per atom; space group = P6/mmm, No. 191; ρ = 4.0 g/cm³
1.0
3.276 0.000 0.000
0.000 6.745 -3.894
0.000 0.000 7.788
Al Sc Er
6 2 1
Cartesian
1.638 4.480 5.202
1.638 4.480 2.586
1.638 0.000 2.616
1.638 2.265 -1.308
1.638 2.265 1.308
1.638 0.000 5.173
0.000 2.248 3.894
3.276 4.496 0.000
0.000 0.000 7.788


No. 8
CaHgPb2 GGA-PBE relaxed; formation energy from the elements = -0.316 eV per atom; space group = P4/mmm, No. 123; ρ = 9.6 g/cm³
1.0
-0.671 4.569 -1.089
-4.786 -0.813 -0.462
-0.631 1.034 4.724
Hg Ca Pb
1 1 2
Cartesian
-0.651 2.801 1.817
-2.729 1.878 -0.776
0.000 0.000 0.000
-2.709 0.110 2.131


No. 9
Ba2MnNi GGA-PBE relaxed; formation energy from the elements = 0.632 eV per atom; space group = I-4m2, No. 119; ρ = 5.3 g/cm³; energy above the lowest structure with this stoichiometry = 1.43 eV/f.u.
1.0
-5.687 2.931 -1.532
-1.966 0.438 -6.263
2.279 -4.537 4.184
Ba Ni Mn
2 1 1
Cartesian
-1.757 -1.207 -2.988
0.000 0.000 0.000
-3.617 0.039 -0.623
-3.827 1.684 -3.897


No. 10
Ta3SiMo GGA-PBE relaxed; space group = Pm-3m, No. 221; ρ = 11.4 g/cm³; energy above the lowest structure with this stoichiometry = 0.00 eV/f.u.; formation energy (no corrections) = 0.9413 eV/atom
1.0
-3.533 1.677 2.424
-2.191 -4.025 -0.409
1.971 -1.469 3.889
Mo Si Ta
1 1 3
Cartesian
-1.876 -1.908 2.952
0.000 0.000 0.000
0.986 -0.734 1.945
-1.096 -2.012 -0.205
-1.766 0.839 1.212


No. 11
HfPdPb GGA-PBE relaxed; formation energy from the elements = -0.288 eV per atom; space group = I4mm, No. 107; ρ = 12.6 g/cm³
1.0
3.346 0.000 0.000
0.000 3.346 0.000
-1.673 -1.673 5.815
Pb Hf Pd
1 1 1
Cartesian
1.673 1.673 5.734
1.673 1.673 2.260
0.000 0.000 3.637


No. 12
SmMgZr GGA-PBE relaxed; formation energy from the elements = 0.200 eV per atom; space group = Fmmm, No. 69; ρ = 5.4 g/cm³; energy above the lowest structure with this stoichiometry = 0.49 eV/f.u.
1.0
-3.942 3.334 1.208
-5.243 -1.167 -2.254
-3.280 -1.595 5.336
Mg Sm Zr
2 2 2
Cartesian
-7.218 1.119 2.446
-5.247 -0.547 1.843
-2.309 0.825 1.825
-4.913 0.914 4.718
-5.184 2.258 0.123
-4.001 -0.091 -1.169


No. 13
Li3ZrV GGA-PBE relaxed; formation energy from the elements = 1.052 eV per atom; space group = Pm-3m, No. 221; ρ = 2.8 g/cm³; energy above the lowest structure with this stoichiometry = 0.00 eV/f.u.
1.0
-0.548 -0.065 -4.548
-3.535 -2.877 0.467
-2.863 3.565 0.294
Li Zr V
3 1 1
Cartesian
-1.431 1.783 0.147
-0.274 -0.032 -2.274
-1.768 -1.439 0.233
-3.473 0.312 -1.894
0.000 0.000 0.000


No. 14
Cd2RuCl GGA-PBE relaxed; space group = R-3m, No. 166; ρ = 7.6 g/cm³; energy above the lowest structure with this stoichiometry = 0.35 eV/f.u.; formation energy (no corrections) = 0.1073 eV/atom
1.0
-7.073 4.492 2.608
-8.293 2.868 0.056
-8.130 1.428 2.978
Cl Cd Ru
1 2 1
Cartesian
-5.874 2.197 1.411
-0.074 0.028 0.018
-11.674 4.367 2.804
-17.622 6.591 4.232


No. 15
RbCd2SnBi GGA-PBE relaxed; formation energy from the elements = 0.421 eV per atom; space group = P4/mmm, No. 123; ρ = 4.4 g/cm³; energy above the lowest structure with this stoichiometry = 2.79 eV/f.u.
1.0
-0.325 0.981 5.745
5.544 -4.322 1.051
3.639 4.529 -0.567
Sn Cd Rb Bi
1 2 1 1
Cartesian
4.429 0.594 3.114
1.819 2.264 -0.284
-0.162 0.490 2.872
2.772 -2.161 0.526
0.000 0.000 0.000


No. 16
Ca2DyHg GGA-PBE relaxed; formation energy from the elements = -0.139 eV per atom; space group = P4/mmm, No. 123; ρ = 5.9 g/cm³; energy above the lowest structure with this stoichiometry = 0.00 eV/f.u.
1.0
4.025 0.000 0.000
0.000 4.025 0.000
0.000 0.000 7.713
Dy Hg Ca
1 1 2
Cartesian
2.012 2.012 3.857
2.012 2.012 0.000
0.000 0.000 1.718
0.000 0.000 5.995


No. 17
Rb2SrTi GGA-PBE relaxed; formation energy from the elements = 0.922 eV per atom; space group = I-42d, No. 122; ρ = 2.4 g/cm³; energy above the lowest structure with this stoichiometry = 0.00 eV/f.u.
1.0
-3.705 2.033 -3.228
-3.729 -0.981 3.662
-1.462 14.022 6.129
Rb Sr Ti
4 2 2
Cartesian
-3.212 3.175 3.372
-7.548 11.451 4.925
-3.937 10.897 4.812
-3.095 4.625 0.019
0.000 0.000 0.000
-4.442 8.290 1.559
-4.454 6.783 5.004
-3.717 0.526 0.217


No. 18
Na3PmTe3 GGA-PBE relaxed; space group = Pm-3m, No. 221; ρ = 3.9 g/cm³; energy above the lowest structure with this stoichiometry = 0.11 eV/f.u.; formation energy (no corrections) = -1.0750 eV/atom
1.0
6.243 0.659 0.894
-0.785 6.229 0.894
-0.785 -0.990 6.214
Te Na Pm
3 3 1
Cartesian
-0.193 3.366 0.789
-0.193 -0.243 3.449
3.322 0.581 0.789
-0.586 2.872 3.897
2.930 0.086 3.897
2.930 3.697 1.236
0.200 0.252 0.343


No. 19
In2AsPRu GGA-PBE relaxed; formation energy from the elements = 0.927 eV per atom; space group = P4/mmm, No. 123; ρ = 5.7 g/cm³
1.0
5.261 0.000 0.000
0.000 4.567 0.000
0.000 0.000 5.261
As P In Ru
1 1 2 1
Cartesian
0.000 0.000 0.000
2.631 2.283 2.631
0.000 0.000 2.631
2.631 0.000 0.000
0.000 2.283 0.000


No. 20
TlTcW2 GGA-PBE relaxed; formation energy from the elements = 0.614 eV per atom; space group = R3m, No. 160; ρ = 15.9 g/cm³; energy above the lowest structure with this stoichiometry = 0.26 eV/f.u.
1.0
-8.623 1.579 3.758
-9.184 -0.954 2.390
-8.014 -0.967 5.080
W Tl Tc
2 1 1
Cartesian
-6.353 -0.084 2.763
-25.686 -0.340 11.169
-19.431 -0.257 8.450
-13.083 -0.173 5.689


No. 21
CaHgMo GGA-PBE relaxed; formation energy from the elements = 1.221 eV per atom; space group = F-43m, No. 216; ρ = 6.5 g/cm³; energy above the lowest structure with this stoichiometry = 2.22 eV/f.u.
1.0
4.956 0.000 0.000
2.478 4.292 0.000
2.478 1.431 4.047
Hg Ca Mo
1 1 1
Cartesian
0.000 0.000 0.000
7.434 4.292 3.035
4.956 2.861 2.023


No. 22
NbTl2IO6 GGA-PBE relaxed; space group = Fm-3m, No. 225; ρ = 8.2 g/cm³; formation energy (no corrections) = -1.0823 eV/atom
1.0
5.911 0.000 0.000
0.000 5.911 0.000
2.956 2.956 4.182
O Tl I Nb
6 2 1 1
Cartesian
1.442 4.470 0.000
2.956 2.956 2.144
5.911 5.911 2.040
4.470 4.470 0.001
4.469 1.442 0.000
4.397 4.398 4.182
2.956 5.912 2.091
5.911 2.956 2.092
2.956 2.956 0.000
0.000 0.000 0.000


No. 23
Pm4PrPd2 GGA-PBE relaxed; formation energy from the elements = -0.295 eV per atom; space group = P2_1/m, No. 11; ρ = 7.6 g/cm³
1.0
6.650 0.000 0.000
0.000 7.514 -3.043
0.000 0.240 8.111
Pm Pr Pd
8 2 4
Cartesian
1.663 4.452 2.706
4.988 0.399 0.456
3.324 2.434 5.566
3.326 5.320 -0.498
4.988 3.303 2.362
0.001 2.434 5.566
6.649 5.320 -0.498
1.663 7.356 4.612
4.988 6.577 2.637
1.663 1.177 2.431
4.988 0.615 3.291
4.988 4.963 5.116
1.663 7.139 1.777
1.663 2.791 -0.048


No. 24
Be3CuRh2 GGA-PBE relaxed; formation energy from the elements = -0.558 eV per atom; space group = Cmmm, No. 65; ρ = 7.8 g/cm³; energy above the lowest structure with this stoichiometry = 0.00 eV/f.u.
1.0
2.837 0.000 0.000
0.000 3.633 -1.203
0.000 0.008 6.113
Rh Be Cu
2 3 1
Cartesian
0.000 1.250 3.775
0.000 2.392 1.136
1.419 1.817 -0.601
1.419 3.000 2.972
1.419 0.642 1.939
0.000 0.000 0.000


No. 25
Ti2NbFe GGA-PBE relaxed; formation energy from the elements = -0.025 eV per atom; space group = P4/mmm, No. 123; ρ = 6.7 g/cm³; energy above the lowest structure with this stoichiometry = 0.59 eV/f.u.
1.0
-2.218 -2.213 0.082
0.685 -0.527 4.325
-3.040 3.078 0.856
Ti Fe Nb
2 1 1
Cartesian
-1.520 1.539 0.428
0.342 -0.263 2.162
-2.287 0.169 2.631
-1.109 -1.107 0.041


No. 26
LiScSnS2 GGA-PBE relaxed; space group = P4/mmm, No. 123; ρ = 3.9 g/cm³; formation energy (no corrections) = -0.2002 eV/atom
1.0
-3.455 -0.806 2.995
1.546 -4.264 0.637
2.676 1.491 3.488
S Sn Sc Li
2 1 1 1
Cartesian
1.338 0.746 1.744
-1.727 -0.403 1.497
0.773 -2.132 0.318
0.384 -1.789 3.560
0.000 0.000 0.000


No. 27
Zr2COF GGA-PBE relaxed; space group = P4/mmm, No. 123; ρ = 5.6 g/cm³; formation energy (no corrections) = -0.4778 eV/atom
1.0
4.309 0.000 0.000
0.000 3.633 0.000
0.000 0.000 4.309
F C O Zr
1 1 1 2
Cartesian
2.155 1.816 2.155
0.000 1.816 0.000
0.000 0.000 0.000
2.155 0.000 0.000
0.000 0.000 2.155